5
Lattice="4.0805 0.0000 0.0000 0.0000 4.0805 0.0000 0.0000 0.0000 4.0805" Properties=species:S:1:pos:R:3 comment="TaCo3F PBE with a Hubbard U optimized geometry" e_above_lowest_polymorph_kj_per_mol_atoms=0.0 dos_at_fermi_per_ev_cell=3.5 pbc="T T T"
Ta 0.0000 0.0000 0.0000
Co 0.0000 2.0403 2.0403
Co 2.0403 0.0000 2.0403
Co 2.0403 2.0403 0.0000
F 2.0403 2.0403 2.0403